No. 1
Below is an optimized crystal structure of SmPa2Ru, with properties calculated at the PBE level.

Magnetization (μB/f.u.): 0.00
Formation energy from the elements (eV per atom): -0.05
Energy (eV/f.u.): -33.20

Structure (POSCAR):
```
SmPa2Ru
1.0
3.577 0.000 0.000
0.000 3.577 0.000
0.000 0.000 7.765
Sm Pa Ru
1 2 1
direct
0.000 0.000 0.000 Sm
0.500 0.500 0.312 Pa
0.500 0.500 0.688 Pa
0.000 0.000 0.500 Ru
```


No. 2
Below is an optimized crystal structure of SmPaRu2, with properties calculated at the PBE level.

Magnetization (μB/f.u.): 0.00
Formation energy from the elements (eV per atom): -0.29
Energy (eV/f.u.): -33.93

Structure (POSCAR):
```
SmPaRu2
1.0
0.000 3.450 3.450
3.450 0.000 3.450
3.450 3.450 0.000
Sm Pa Ru
1 1 2
direct
0.000 0.000 0.000 Sm
0.500 0.500 0.500 Pa
0.250 0.250 0.250 Ru
0.750 0.750 0.750 Ru
```


No. 3
Below is an optimized crystal structure of Sm2PaRu4, with properties calculated at the PBE level.

Magnetization (μB/f.u.): 0.00
Formation energy from the elements (eV per atom): 0.02
Energy (eV/f.u.): -55.90

Structure (POSCAR):
```
Sm2PaRu4
1.0
-2.284 2.284 6.935
2.284 -2.284 6.935
2.284 2.284 -6.935
Sm Pa Ru
2 1 4
direct
0.234 0.234 0.000 Sm
0.766 0.766 0.000 Sm
0.500 0.500 0.000 Pa
0.103 0.603 0.500 Ru
0.397 0.897 0.500 Ru
0.603 0.103 0.500 Ru
0.897 0.397 0.500 Ru
```